Record 1
Material: MgCuCl2
Method: DFT, PBEsol
State: relaxed

Values from the calculation:
Total magnetic moment (Bohr magnetons per cell): 0.00
Volume (Å³ per cell): 87.2
DOS at the Fermi energy (states/eV/cell): 0.56
E_form (uncorrected) (eV per atom): -0.455
Offset from the most stable computed form (eV/atom): 0.000
Electronic total energy (eV per atom): -2.97

abc: 3.069 3.069 9.258
angles: 90.00 90.00 90.00
Atoms (fractional coordinates):
Cl: 0.000 0.000 0.662
Cl: 0.000 0.000 0.338
Cu: 0.500 0.500 0.000
Mg: 0.500 0.500 0.500


Record 2
Material: MgCuPCl2
Method: DFT, PBEsol
State: relaxed

Values from the calculation:
Total magnetic moment (Bohr magnetons per cell): 1.35
Volume (Å³ per cell): 114.7
DOS at the Fermi energy (states/eV/cell): 2.77
E_form (uncorrected) (eV per atom): 0.154
Electronic total energy (eV per atom): -3.02

abc: 4.537 4.537 5.570
angles: 90.00 90.00 90.00
Site moments in Bohr magnetons follow the coordinates.
Atoms (fractional coordinates):
P: 0.000 0.000 0.500  0.50
Mg: 0.000 0.000 0.000  0.01
Cu: 0.500 0.500 0.500  0.01
Cl: 0.000 0.500 0.000  0.08
Cl: 0.500 0.000 0.000  0.08